The following is a PBE calculation of a relaxed Nd4Er2Th3 crystal, from the Alexandria database.

Values from the calculation:
The formation enthalpy at 0 K comes out at 0.052 eV/atom. For the magnetic moment, the calculation gives 0.00 Bohr magnetons per cell. As for the density of states at the Fermi level: 14.1 states/eV/f.u. The calculation puts the electronic total energy at -5.555 eV per atom. As for the space group: No. 12.

a b c (Å): 3.6210 8.0595 10.8159
angles (deg): 76.42 90.00 102.98
Positions (direct):
Th1 0.0000 0.0000 0.0000
Er1 0.3358 0.6715 0.2210
Nd1 0.9955 0.9909 0.3376
Th2 0.3266 0.6532 0.5586
Nd2 0.0045 0.0091 0.6624
Nd3 0.3374 0.6748 0.8852
Th3 0.6734 0.3468 0.4414
Nd4 0.6626 0.3252 0.1148
Er2 0.6642 0.3285 0.7790